Density functional theory data (GGA-PBE) for a relaxed Np4Ta crystal.

abc: 5.3176 5.3176 5.3176
angles: 90.00 90.00 90.00
Closest atoms and distances in Å follow each position.
Fractional positions:
Np 0.0000 0.0000 0.0000  12 Np 3.76
Np 0.0000 0.5000 0.5000  2 Ta 2.66
Np 0.5000 0.0000 0.5000  2 Ta 2.66
Np 0.5000 0.5000 0.0000  2 Ta 2.66
Ta 0.5000 0.5000 0.5000  6 Np 2.66

Calculated values
**Total energy**: -11.2159 eV per atom
**Space group**: Pm-3m
**ρ**: 12.467 g cm⁻³

Density functional theory data (GGA-PBE) for a relaxed NpTa2Tc crystal.

abc: 3.1481 3.1481 7.4818
angles: 90.00 90.00 90.00
Closest atoms and distances in Å follow each position.
Fractional positions:
Np 0.0000 0.0000 0.0000  8 Ta 3.09, 4 Np 3.15
Ta 0.5000 0.5000 0.2858  4 Tc 2.74
Ta 0.5000 0.5000 0.7142  4 Tc 2.74
Tc 0.0000 0.0000 0.5000  8 Ta 2.74

Calculated values
**Total energy**: -11.6739 eV per atom
**Space group**: P4/mmm
**ρ**: 15.607 g cm⁻³

Density functional theory data (GGA-PBE) for a relaxed NpTaTe crystal.

abc: 7.0091 7.0091 6.0009
angles: 94.74 94.74 27.87
Closest atoms and distances in Å follow each position.
Fractional positions:
Np 0.0728 0.0728 0.3804  1 Np 2.54
Np 0.9272 0.9272 0.6196  1 Np 2.54
Ta 0.4097 0.4097 0.0990  1 Ta 2.82, 3 Te 2.89-2.93
Ta 0.5903 0.5903 0.9010  1 Ta 2.82, 3 Te 2.89-2.93
Te 0.2444 0.2444 0.7529  3 Ta 2.89-2.93, 3 Np 3.09-3.16
Te 0.7556 0.7556 0.2471  3 Ta 2.89-2.93, 3 Np 3.09-3.16

Calculated values
**Space group**: C2/m
**ρ**: 13.195 g cm⁻³
**Formation energy without anion corrections**: 0.260 eV/atom

Density functional theory data (GGA-PBE) for a relaxed NpTa2Tl2Te6 crystal.

abc: 6.9081 6.9081 8.7658
angles: 95.31 95.31 118.11
Closest atoms and distances in Å follow each position.
Fractional positions:
Np 0.0000 0.0000 0.0000  6 Te 3.04-3.15
Ta 0.3715 0.6285 0.0000  6 Te 2.77-3.03, 1 Ta 3.04
Ta 0.6285 0.3715 0.0000  6 Te 2.77-3.03, 1 Ta 3.04
Tl 0.1742 0.8258 0.5000  6 Te 3.44-3.49
Tl 0.8258 0.1742 0.5000  6 Te 3.44-3.49
Te 0.0428 0.4150 0.1869  2 Ta 2.83-3.03, 1 Np 3.04
Te 0.2894 0.2894 0.7661  2 Ta 2.77
Te 0.4150 0.0428 0.1869  2 Ta 2.83-3.03, 1 Np 3.04
Te 0.5850 0.9572 0.8131  2 Ta 2.83-3.03, 1 Np 3.04
Te 0.7106 0.7106 0.2339  2 Ta 2.77
Te 0.9572 0.5850 0.8131  2 Ta 2.83-3.03, 1 Np 3.04

Calculated values
**Space group**: C2/m
**ρ**: 8.113 g cm⁻³
**Formation energy without anion corrections**: -0.319 eV/atom

Density functional theory data (GGA-PBE) for a relaxed NpTa2Ti crystal.

abc: 3.3662 3.3662 6.5442
angles: 90.00 90.00 90.00
Closest atoms and distances in Å follow each position.
Fractional positions:
Np 0.0000 0.0000 0.0000  8 Ta 2.88
Ta 0.5000 0.5000 0.2469  4 Np 2.88, 4 Ti 2.90
Ta 0.5000 0.5000 0.7531  4 Np 2.88, 4 Ti 2.90
Ti 0.0000 0.0000 0.5000  8 Ta 2.90

Calculated values
**Total energy**: -10.7818 eV per atom
**Space group**: P4/mmm
**ρ**: 14.483 g cm⁻³

Density functional theory data (GGA-PBE) for a relaxed NpTaV crystal.

abc: 7.2676 7.2676 3.1743
angles: 92.96 92.96 36.95
Closest atoms and distances in Å follow each position.
Fractional positions:
Np 0.2397 0.2397 0.1446  1 V 2.43, 2 Np 2.50
Np 0.7603 0.7603 0.8554  1 V 2.43, 2 Np 2.50
Ta 0.4174 0.4174 0.7428  2 Ta 2.73-2.82, 4 V 2.78-2.81, 2 Np 2.82-3.02
Ta 0.5826 0.5826 0.2572  2 Ta 2.73-2.82, 4 V 2.78-2.81, 2 Np 2.82-3.02
V 0.0821 0.0821 0.7650  1 Np 2.43
V 0.9179 0.9179 0.2350  1 Np 2.43

Calculated values
**Total energy**: -11.1194 eV per atom
**Space group**: C2/m
**ρ**: 15.473 g cm⁻³

Density functional theory data (GGA-PBE) for a relaxed NpTaV crystal.

abc: 7.7333 7.7333 7.7333
angles: 160.26 160.26 28.06
Closest atoms and distances in Å follow each position.
Fractional positions:
Np 0.0000 0.0000 0.0000  1 V 2.40, 4 Np 2.65
Ta 0.8048 0.8048 0.0000  4 Ta 2.65, 4 V 2.87, 1 Np 2.93
V 0.1600 0.1600 0.0000  1 Np 2.40, 4 V 2.65

Calculated values
**Total energy**: -10.5449 eV per atom
**Space group**: I4mm
**ρ**: 14.762 g cm⁻³

Density functional theory data (GGA-PBE) for a relaxed NpTa2W crystal.

abc: 4.8400 4.8400 3.1424
angles: 90.00 90.00 90.00
Closest atoms and distances in Å follow each position.
Fractional positions:
Np 0.0000 0.0000 0.0000  8 Ta 2.89, 2 Np 3.14
Ta 0.0000 0.5000 0.5000  4 W 2.89, 4 Np 2.89, 2 Ta 3.14
Ta 0.5000 0.0000 0.5000  4 W 2.89, 4 Np 2.89, 2 Ta 3.14
W 0.5000 0.5000 0.0000  8 Ta 2.89, 2 W 3.14

Calculated values
**Total energy**: -12.0328 eV per atom
**Space group**: P4/mmm
**ρ**: 17.657 g cm⁻³